No. 1
Density functional theory data (PBE) for a relaxed structure of RbSb2TeCl.

Lattice parameters (Å, degrees): 5.4799 5.4799 5.9263 90.00 90.00 90.00
Closest atoms and distances in Å follow each position.
Sites, in units of the cell vectors:
Sb 0.0000 0.5000 0.0000  2 Cl 2.74
Sb 0.5000 0.0000 0.0000  2 Cl 2.74
Cl 0.0000 0.0000 0.0000  4 Sb 2.74, 2 Te 2.96
Rb 0.5000 0.5000 0.5000  4 Te 3.87, 8 Sb 4.04
Te 0.0000 0.0000 0.5000  2 Cl 2.96

Properties
- formation energy (no corrections) (eV per atom) = 0.2507
- total energy (eV per cell) = -12.95
- energy above the most stable polymorph in this dataset (eV per atom) = 0.0000

***

No. 2
Density functional theory data (PBE) for a relaxed structure of Ag5Sb.

Lattice parameters (Å, degrees): 3.1271 3.1271 12.0254 90.00 90.00 90.00
Closest atoms and distances in Å follow each position.
Sites, in units of the cell vectors:
Ag 0.0000 0.0000 0.5000  12 Ag 2.89-3.13
Ag 0.0000 0.0000 0.1877  8 Ag 2.91-3.13, 4 Sb 3.16
Ag 0.5000 0.5000 0.6547  12 Ag 2.89-3.13
Ag 0.5000 0.5000 0.3453  12 Ag 2.89-3.13
Ag 0.0000 0.0000 0.8123  8 Ag 2.91-3.13, 4 Sb 3.16
Sb 0.5000 0.5000 0.0000  4 Sb 3.13, 8 Ag 3.16

Properties
- formation energy (no corrections) (eV per atom) = 0.0817
- total energy (eV per cell) = -17.89
- energy above the most stable polymorph in this dataset (eV per atom) = 0.0512

***

No. 3
Density functional theory data (PBE) for a relaxed structure of Tb2Pr3Th2.

Lattice parameters (Å, degrees): 3.4745 5.6308 12.5519 102.98 89.95 90.00
Closest atoms and distances in Å follow each position.
Sites, in units of the cell vectors:
Pr 0.0000 0.0000 0.0000  2 Th 3.44, 2 Pr 3.47, 8 Tb 3.78
Pr 0.0006 0.2904 0.5807  3 Th 3.28-3.66, 4 Pr 3.44-3.47
Pr 0.9994 0.7096 0.4193  3 Th 3.28-3.66, 4 Pr 3.44-3.47
Th 0.9995 0.1398 0.2813  4 Pr 3.28-3.66, 2 Th 3.47
Th 0.0005 0.8602 0.7187  4 Pr 3.28-3.66, 2 Th 3.47
Tb 0.5000 0.5745 0.1498  3 Tb 3.47-3.66, 4 Th 3.68, 6 Pr 3.73-3.78
Tb 0.5000 0.4255 0.8502  3 Tb 3.47-3.66, 4 Th 3.68, 6 Pr 3.73-3.78

Properties
- total energy (eV per cell) = -37.20

***

Among the records above, which one has the lowest total energy? Tb2Pr3Th2